(1)
This record from Alexandria via LeMat-Bulk describes an optimized crystal structure of MnTcSnPH. The functional is PBE.

Properties
Energy: -6.42 eV per atom
Distance to the lowest polymorph of the same formula: 0.230 eV/atom

Cell lengths 7.453, 3.058, 6.393 Å; angles 90.00, 118.82, 90.00 degrees
Space group Cm (No. 8)
Unique sites:
Mn1 0.000 0.000 0.000
Tc1 0.280 0.000 0.618
Sn1 0.422 0.000 0.290
P1 0.149 0.500 0.856
H1 0.341 0.500 0.527

(2)
This record from Alexandria via LeMat-Bulk describes an optimized crystal structure of MnTcSnPH. The functional is PBE.

Properties
Energy: -6.65 eV per atom
Distance to the lowest polymorph of the same formula: 0.000 eV/atom

Cell lengths 3.060, 3.230, 14.065 Å; angles 90.00, 90.00, 90.00 degrees
Space group Amm2 (No. 38)
Unique sites:
Mn1 0.000 0.000 0.000
Tc1 0.500 0.000 0.176
Sn1 0.000 0.000 0.343
P1 0.000 0.000 0.612
H1 0.500 0.000 0.950